i) # CaIrOs PBE relaxed
data_CaIrOs
_chemical_formula_sum 'Ca2 Ir2 Os2'
_space_group_name_H-M_alt 'I m m 2'
_space_group_IT_number 44
_cell_length_a 2.811
_cell_length_b 3.981
_cell_length_c 10.441
_cell_angle_alpha 90.00
_cell_angle_beta 90.00
_cell_angle_gamma 90.00
loop_
_space_group_symop_operation_xyz
'x,y,z'
'-x,-y,z'
'-x,y,z'
'x,-y,z'
'x+1/2,y+1/2,z+1/2'
'-x+1/2,-y+1/2,z+1/2'
'-x+1/2,y+1/2,z+1/2'
'x+1/2,-y+1/2,z+1/2'
loop_
_atom_site_label
_atom_site_fract_x
_atom_site_fract_y
_atom_site_fract_z
Ca1 0.000 0.000 0.000
Ir1 0.000 0.000 0.709
Os1 0.000 0.000 0.287
# total magnetization: 0.00 μB per cell

=====

ii) # CaIrOs PBE relaxed
data_CaIrOs
_chemical_formula_sum 'Ca1 Ir1 Os1'
_space_group_name_H-M_alt 'P -6 m 2'
_space_group_IT_number 187
_space_group_name_Hall 'P -6 2'
_cell_length_a 4.6254
_cell_length_b 4.6254
_cell_length_c 2.8420
_cell_angle_alpha 90.00
_cell_angle_beta 90.00
_cell_angle_gamma 120.00
loop_
_atom_site_label
_atom_site_fract_x
_atom_site_fract_y
_atom_site_fract_z
Ca1 0.0000 0.0000 0.0000
Ir1 0.3333 0.6667 0.5000
Os1 0.6667 0.3333 0.5000
# total magnetization: 0.00 μB per cell

=====

iii) # CaIrOs PBE relaxed
data_CaIrOs
_chemical_formula_sum 'Ca4 Ir4 Os4'
_space_group_name_H-M_alt 'C 1 2/m 1'
_space_group_IT_number 12
_cell_length_a 8.378
_cell_length_b 5.608
_cell_length_c 4.963
_cell_angle_alpha 90.00
_cell_angle_beta 102.98
_cell_angle_gamma 90.00
loop_
_space_group_symop_operation_xyz
'x,y,z'
'-x,-y,-z'
'-x,y,-z'
'x,-y,z'
'x+1/2,y+1/2,z'
'-x+1/2,-y+1/2,-z'
'-x+1/2,y+1/2,-z'
'x+1/2,-y+1/2,z'
loop_
_atom_site_label
_atom_site_fract_x
_atom_site_fract_y
_atom_site_fract_z
Ca1 0.142 0.000 0.406
Ir1 0.250 0.250 0.000
Os1 0.004 0.500 0.742
# total magnetization: 0.00 μB per cell

=====

iv) # CaIrOs PBE relaxed
data_CaIrOs
_chemical_formula_sum 'Ca2 Ir2 Os2'
_space_group_name_H-M_alt 'I 4 m m'
_space_group_IT_number 107
_space_group_name_Hall 'I 4 -2'
_cell_length_a 2.868
_cell_length_b 2.868
_cell_length_c 12.979
_cell_angle_alpha 90.00
_cell_angle_beta 90.00
_cell_angle_gamma 90.00
loop_
_atom_site_label
_atom_site_fract_x
_atom_site_fract_y
_atom_site_fract_z
Ca1 0.000 0.000 0.000
Ir1 0.000 0.000 0.686
Os1 0.000 0.000 0.312
# total magnetization: 0.00 μB per cell

=====

Quick look at relative energies in eV/atom: i) 0.000; ii) 0.221; iii) 0.047; iv) 0.020.

=====

i) # CaIrOs PBE relaxed
data_CaIrOs
_chemical_formula_sum 'Ca4 Ir4 Os4'
_space_group_name_H-M_alt 'F -4 3 m'
_space_group_IT_number 216
_space_group_name_Hall 'F -4 2 3'
_cell_length_a 6.298
_cell_length_b 6.298
_cell_length_c 6.298
_cell_angle_alpha 90.00
_cell_angle_beta 90.00
_cell_angle_gamma 90.00
loop_
_atom_site_label
_atom_site_fract_x
_atom_site_fract_y
_atom_site_fract_z
Ca1 0.000 0.000 0.000
Ir1 0.250 0.250 0.250
Os1 0.250 0.250 0.750
# total magnetization: 9.05 μB per cell

=====

ii) # CaIrOs PBE relaxed
data_CaIrOs
_chemical_formula_sum 'Ca1 Ir1 Os1'
_space_group_name_H-M_alt 'P 3 m 1'
_space_group_IT_number 156
_cell_length_a 2.8793
_cell_length_b 2.8793
_cell_length_c 7.1922
_cell_angle_alpha 90.00
_cell_angle_beta 90.00
_cell_angle_gamma 120.00
loop_
_space_group_symop_operation_xyz
'x,y,z'
'-y,x-y,z'
'-x+y,-x,z'
'-y,-x,z'
'-x+y,y,z'
'x,x-y,z'
loop_
_atom_site_label
_atom_site_fract_x
_atom_site_fract_y
_atom_site_fract_z
Ca1 0.0000 0.0000 0.0000
Ir1 0.6667 0.3333 0.3517
Os1 0.3333 0.6667 0.6436
# total magnetization: 0.00 μB per cell

=====

Quick look at relative energies in eV/atom: i) 1.211; ii) 0.000.

=====

i) # CaP2Ir PBE relaxed
data_CaP2Ir
_chemical_formula_sum 'Ca1 P2 Ir1'
_space_group_name_H-M_alt 'P 4 m m'
_space_group_IT_number 99
_cell_length_a 3.337
_cell_length_b 3.337
_cell_length_c 6.365
_cell_angle_alpha 90.00
_cell_angle_beta 90.00
_cell_angle_gamma 90.00
loop_
_space_group_symop_operation_xyz
'x,y,z'
'-y,x,z'
'-x,-y,z'
'y,-x,z'
'-x,y,z'
'y,x,z'
'x,-y,z'
'-y,-x,z'
loop_
_atom_site_label
_atom_site_fract_x
_atom_site_fract_y
_atom_site_fract_z
Ca1 0.000 0.000 0.000
P1 0.000 0.000 0.487
P2 0.500 0.500 0.737
Ir1 0.500 0.500 0.364
# total magnetization: 0.00 μB per cell

=====

ii) # CaP2Ir PBE relaxed
data_CaP2Ir
_chemical_formula_sum 'Ca4 P8 Ir4'
_space_group_name_H-M_alt 'F -4 3 m'
_space_group_IT_number 216
_space_group_name_Hall 'F -4 2 3'
_cell_length_a 6.476
_cell_length_b 6.476
_cell_length_c 6.476
_cell_angle_alpha 90.00
_cell_angle_beta 90.00
_cell_angle_gamma 90.00
loop_
_atom_site_label
_atom_site_fract_x
_atom_site_fract_y
_atom_site_fract_z
Ca1 0.000 0.000 0.000
P1 0.000 0.000 0.500
P2 0.250 0.250 0.250
Ir1 0.250 0.250 0.750
# total magnetization: 0.00 μB per cell

=====

iii) # CaP2Ir PBE relaxed
data_CaP2Ir
_chemical_formula_sum 'Ca2 P4 Ir2'
_space_group_name_H-M_alt 'C m m m'
_space_group_IT_number 65
_space_group_name_Hall '-C 2 2'
_cell_length_a 4.269
_cell_length_b 5.457
_cell_length_c 6.194
_cell_angle_alpha 90.00
_cell_angle_beta 90.00
_cell_angle_gamma 90.00
loop_
_atom_site_label
_atom_site_fract_x
_atom_site_fract_y
_atom_site_fract_z
Ca1 0.000 0.000 0.000
P1 0.000 0.500 0.312
Ir1 0.000 0.000 0.500
# total magnetization: 0.00 μB per cell

=====

iv) # CaP2Ir PBE relaxed
data_CaP2Ir
_chemical_formula_sum 'Ca1 P2 Ir1'
_space_group_name_H-M_alt 'P 4/m m m'
_space_group_IT_number 123
_space_group_name_Hall '-P 4 2'
_cell_length_a 3.137
_cell_length_b 3.137
_cell_length_c 6.831
_cell_angle_alpha 90.00
_cell_angle_beta 90.00
_cell_angle_gamma 90.00
loop_
_atom_site_label
_atom_site_fract_x
_atom_site_fract_y
_atom_site_fract_z
Ca1 0.000 0.000 0.000
P1 0.500 0.500 0.300
Ir1 0.000 0.000 0.500
# total magnetization: 0.00 μB per cell

=====

Quick look at relative energies in eV/atom: i) 0.007; ii) 0.454; iii) 0.000; iv) 0.014.

=====

i) # CaP2Ir PBE relaxed
data_CaP2Ir
_chemical_formula_sum 'Ca1 P2 Ir1'
_space_group_name_H-M_alt 'P m m m'
_space_group_IT_number 47
_cell_length_a 3.630
_cell_length_b 4.246
_cell_length_c 4.258
_cell_angle_alpha 90.00
_cell_angle_beta 90.00
_cell_angle_gamma 90.00
loop_
_space_group_symop_operation_xyz
'x,y,z'
'-x,-y,-z'
'-x,-y,z'
'x,y,-z'
'x,-y,-z'
'-x,y,z'
'-x,y,-z'
'x,-y,z'
loop_
_atom_site_label
_atom_site_fract_x
_atom_site_fract_y
_atom_site_fract_z
Ca1 0.000 0.000 0.000
P1 0.500 0.000 0.500
P2 0.500 0.500 0.000
Ir1 0.000 0.500 0.500
# total magnetization: 0.00 μB per cell

=====

ii) # CaP2Ir PBE relaxed
data_CaP2Ir
_chemical_formula_sum 'Ca2 P4 Ir2'
_space_group_name_H-M_alt 'C 1 2/m 1'
_space_group_IT_number 12
_cell_length_a 6.825
_cell_length_b 3.927
_cell_length_c 5.821
_cell_angle_alpha 90.00
_cell_angle_beta 112.84
_cell_angle_gamma 90.00
loop_
_space_group_symop_operation_xyz
'x,y,z'
'-x,-y,-z'
'-x,y,-z'
'x,-y,z'
'x+1/2,y+1/2,z'
'-x+1/2,-y+1/2,-z'
'-x+1/2,y+1/2,-z'
'x+1/2,-y+1/2,z'
loop_
_atom_site_label
_atom_site_fract_x
_atom_site_fract_y
_atom_site_fract_z
Ca1 0.000 0.000 0.000
P1 0.222 0.000 0.666
Ir1 0.000 0.500 0.500
# total magnetization: 0.00 μB per cell

=====

Quick look at relative energies in eV/atom: i) 0.695; ii) 0.000.

=====

i) # CaP2Ir PBE relaxed
data_CaP2Ir
_chemical_formula_sum 'Ca2 P4 Ir2'
_space_group_name_H-M_alt 'A m m 2'
_space_group_IT_number 38
_cell_length_a 4.180
_cell_length_b 3.751
_cell_length_c 11.082
_cell_angle_alpha 90.00
_cell_angle_beta 90.00
_cell_angle_gamma 90.00
loop_
_space_group_symop_operation_xyz
'x,y,z'
'-x,-y,z'
'-x,y,z'
'x,-y,z'
'x,y+1/2,z+1/2'
'-x,-y+1/2,z+1/2'
'-x,y+1/2,z+1/2'
'x,-y+1/2,z+1/2'
loop_
_atom_site_label
_atom_site_fract_x
_atom_site_fract_y
_atom_site_fract_z
Ca1 0.000 0.000 0.000
P1 0.000 0.000 0.706
P2 0.500 0.000 0.404
Ir1 0.500 0.000 0.783
# total magnetization: 0.00 μB per cell

=====

ii) # CaP2Ir PBE relaxed
data_CaP2Ir
_chemical_formula_sum 'Ca4 P8 Ir4'
_space_group_name_H-M_alt 'F m -3 m'
_space_group_IT_number 225
_space_group_name_Hall '-F 4 2 3'
_cell_length_a 6.414
_cell_length_b 6.414
_cell_length_c 6.414
_cell_angle_alpha 90.00
_cell_angle_beta 90.00
_cell_angle_gamma 90.00
loop_
_atom_site_label
_atom_site_fract_x
_atom_site_fract_y
_atom_site_fract_z
Ca1 0.000 0.000 0.000
P1 0.250 0.250 0.250
Ir1 0.000 0.000 0.500
# total magnetization: 0.00 μB per cell

=====

iii) # CaP2Ir PBE relaxed
data_CaP2Ir
_chemical_formula_sum 'Ca2 P4 Ir2'
_space_group_name_H-M_alt 'C 1 m 1'
_space_group_IT_number 8
_cell_length_a 8.494
_cell_length_b 3.559
_cell_length_c 5.180
_cell_angle_alpha 90.00
_cell_angle_beta 106.50
_cell_angle_gamma 90.00
loop_
_space_group_symop_operation_xyz
'x,y,z'
'x,-y,z'
'x+1/2,y+1/2,z'
'x+1/2,-y+1/2,z'
loop_
_atom_site_label
_atom_site_fract_x
_atom_site_fract_y
_atom_site_fract_z
Ca1 0.000 0.000 0.000
P1 0.012 0.500 0.515
P2 0.280 0.500 0.337
Ir1 0.228 0.000 0.593
# total magnetization: 0.00 μB per cell

=====

iv) # CaP2Ir PBE relaxed
data_CaP2Ir
_chemical_formula_sum 'Ca2 P4 Ir2'
_space_group_name_H-M_alt 'I m m m'
_space_group_IT_number 71
_space_group_name_Hall '-I 2 2'
_cell_length_a 3.989
_cell_length_b 5.806
_cell_length_c 6.622
_cell_angle_alpha 90.00
_cell_angle_beta 90.00
_cell_angle_gamma 90.00
loop_
_atom_site_label
_atom_site_fract_x
_atom_site_fract_y
_atom_site_fract_z
Ca1 0.000 0.000 0.000
P1 0.000 0.500 0.184
Ir1 0.000 0.000 0.500
# total magnetization: 0.00 μB per cell

=====

Quick look at relative energies in eV/atom: i) 0.000; ii) 0.388; iii) 0.163; iv) 0.046.